(1)
A plane-wave DFT calculation with PBE-GGA was carried out for a geometry-optimized Tl3InI7 structure.

Cell: 8.561 8.561 8.561 Å, 96.64 96.64 96.64°
Sites, in units of the cell vectors:
Tl  0.993  0.406  0.406
Tl  0.406  0.406  0.993
Tl  0.406  0.993  0.406
In  0.898  0.898  0.898
I  0.079  0.720  0.720
I  0.251  0.251  0.631
I  0.631  0.251  0.251
I  0.720  0.720  0.079
I  0.720  0.079  0.720
I  0.114  0.114  0.114
I  0.251  0.631  0.251

raw formation energy: -10.90 kcal/mol of atoms
space-group type: R3m, No. 160
V: 55.79 Å³ per atom
M_tot: 0.00 μB/f.u.

---

(2)
A plane-wave DFT calculation with PBE-GGA was carried out for a geometry-optimized PrDyGa3 structure.

Cell: 4.224 4.325 13.080 Å, 99.52 90.00 90.00°
Sites, in units of the cell vectors:
Pr  0.250  0.074  0.148
Pr  0.750  0.926  0.852
Dy  0.250  0.796  0.593
Dy  0.750  0.204  0.407
Ga  0.250  0.379  0.758
Ga  0.750  0.621  0.242
Ga  0.250  0.476  0.951
Ga  0.750  0.524  0.049
Ga  0.750  0.322  0.645
Ga  0.250  0.678  0.355

formation enthalpy at 0 K: -664.5 meV per atom
space-group type: Cmcm, No. 63
V: 23.56 Å³ per atom
M_tot: 0.00 μB/f.u.

---

(3)
A plane-wave DFT calculation with PBE-GGA was carried out for a geometry-optimized Tb2Sn2H structure.

Cell: 5.966 5.996 7.638 Å, 113.11 112.99 90.00°
Sites, in units of the cell vectors:
Tb  0.430  0.670  0.861
Tb  0.570  0.330  0.139
Tb  0.070  0.809  0.139
Tb  0.930  0.191  0.861
Sn  0.815  0.592  0.630
Sn  0.185  0.408  0.370
Sn  0.685  0.962  0.370
Sn  0.315  0.038  0.630
H  0.750  0.500  0.000
H  0.250  0.500  0.000

space-group type: Ibam, No. 72
total DFT energy (no corrections): -46.29 eV per cell
V: 22.75 Å³ per atom
M_tot: 0.00 μB/f.u.

---

(4)
A plane-wave DFT calculation with PBE-GGA was carried out for a geometry-optimized KBa2Cl2 structure.

Cell: 9.017 9.017 6.101 Å, 90.00 90.00 90.00°
Sites, in units of the cell vectors:
K  0.000  0.000  0.000
K  0.500  0.500  0.000
Ba  0.180  0.680  0.500
Ba  0.680  0.820  0.500
Ba  0.820  0.320  0.500
Ba  0.320  0.180  0.500
Cl  0.206  0.706  0.000
Cl  0.706  0.794  0.000
Cl  0.794  0.294  0.000
Cl  0.294  0.206  0.000

raw formation energy: -30.78 kcal/mol of atoms
space-group type: P4/mbm, No. 127
energy relative to the lowest polymorph listed for this composition: 66 meV/atom
V: 49.61 Å³ per atom
M_tot: 0.00 μB/f.u.